Entry 1:
AcCd2BiPd4 after structural relaxation, computed with PBE-GGA.

Computed properties:
The space-group type is R-3m. The formation energy comes out at -40.6 kJ per mole of atoms. The calculation puts the magnetic moment at 0.00 μB/cell. As for the uncorrected energy: -33.960 eV/f.u.

Unit cell a=4.9958 b=4.9958 c=8.3628 alpha=72.62 beta=72.62 gamma=60.00
With the nearest neighbours (Å) after each atom.
Fractional coordinates of all 8 atoms:
Pd1 0.8686 0.8686 0.3943  4 Cd 2.85-3.12, 3 Bi 3.00, 1 Ac 3.10
Pd2 0.6196 0.6196 0.1413  1 Bi 2.82, 4 Cd 2.99-3.02, 3 Ac 3.09
Pd3 0.3804 0.3804 0.8587  1 Bi 2.82, 4 Cd 2.99-3.02, 3 Ac 3.09
Pd4 0.1314 0.1314 0.6057  4 Cd 2.85-3.12, 3 Bi 3.00, 1 Ac 3.10
Cd1 0.7477 0.7477 0.7568  8 Pd 2.85-3.12
Cd2 0.2523 0.2523 0.2432  8 Pd 2.85-3.12
Ac1 0.0000 0.0000 0.0000  8 Pd 3.09-3.10, 6 Cd 3.46
Bi1 0.5000 0.5000 0.5000  8 Pd 2.82-3.00

Entry 2:
CdGeO3 after structural relaxation, computed with PBE-GGA.

Computed properties:
Its energy relative to the elements, uncorrected is -1355 meV per atom. The space-group type is Cmc2_1. The calculation puts the magnetic moment at 0.10 μB/cell. As for the uncorrected energy: -27.184 eV/f.u.

Unit cell a=6.1673 b=6.1673 c=5.2309 alpha=90.00 beta=90.00 gamma=127.70
With the nearest neighbours (Å) after each atom.
Fractional coordinates of all 10 atoms:
Cd1 0.1153 0.8847 0.2586  3 O 2.09-2.33
Cd2 0.8847 0.1153 0.7586  3 O 2.09-2.33
O1 0.2864 0.2608 0.5504  2 Ge 1.90-1.93
O2 0.7082 0.2918 0.8992  1 Ge 1.72
O3 0.2918 0.7082 0.3992  1 Ge 1.72
O4 0.7392 0.7136 0.5504  2 Ge 1.90-1.93
O5 0.2608 0.2864 0.0504  2 Ge 1.90-1.93
O6 0.7136 0.7392 0.0504  2 Ge 1.90-1.93
Ge1 0.4415 0.5585 0.3109  5 O 1.72-1.93
Ge2 0.5585 0.4415 0.8109  5 O 1.72-1.93

- What is the magnetic moment in the second record?
  0.10 μB/cell

- What is the uncorrected energy in the first record?
  -33.960 eV/f.u.